Here is a geometry-optimized LaZr2As structure from the Alexandria database. Energies are from PBE.

Geometry as POSCAR:
```
LaZr2As
1.0
9.2159 -0.0010 -0.0006
8.4876 3.5908 -0.0006
8.4876 1.7210 3.1515
As Zr La
1 2 1
Cartesian
13.3139 2.6997 1.6014
25.9548 5.2629 3.1218
6.1870 1.2545 0.7442
20.0220 4.0599 2.4082
```

## Properties
energy of formation from the pure elements = -0.367 eV per atom
Fermi-level density of states = 4.76 states/eV/cell
electronic total energy = -28.142 eV for the cell shown

***

Here is a geometry-optimized LaZr2As structure from the Alexandria database. Energies are from PBE.

Geometry as POSCAR:
```
LaZr2As
1.0
5.1081 0.0000 0.0000
2.5541 4.4238 0.0000
2.5541 1.4746 4.1708
As Zr La
1 2 1
Cartesian
5.1081 2.9492 2.0854
0.0000 0.0000 0.0000
7.6622 4.4238 3.1281
2.5541 1.4746 1.0427
```

## Properties
energy of formation from the pure elements = -0.099 eV per atom
Fermi-level density of states = 6.86 states/eV/cell
electronic total energy = -27.069 eV for the cell shown

***

Here is a geometry-optimized LaZr2As structure from the Alexandria database. Energies are from PBE.

Geometry as POSCAR:
```
LaZr2As
1.0
-3.9068 3.8297 -0.3793
-4.0687 2.2805 2.8841
0.9726 5.4122 2.6175
As Zr La
1 2 1
Cartesian
-3.2998 6.6477 2.9919
0.9088 5.3844 2.6011
-5.7805 8.3112 3.6585
-1.3604 2.3527 1.0493
```

## Properties
energy of formation from the pure elements = -0.452 eV per atom
Fermi-level density of states = 3.79 states/eV/cell
electronic total energy = -28.481 eV for the cell shown

***

Here is a geometry-optimized LaZr2As2 structure from the Alexandria database. Energies are from PBE.

Geometry as POSCAR:
```
LaZr2As2
1.0
7.8096 0.0000 0.0000
0.0000 7.8096 0.0000
0.0000 0.0000 3.5981
As Zr La
4 4 2
Cartesian
2.8294 6.7342 0.0000
6.7342 4.9802 0.0000
4.9802 1.0754 0.0000
1.0754 2.8294 0.0000
1.1702 5.0750 1.7991
5.0750 6.6394 1.7991
6.6394 2.7346 1.7991
2.7346 1.1702 1.7991
0.0000 0.0000 0.0000
3.9048 3.9048 0.0000
```

## Properties
energy of formation from the pure elements = -0.904 eV per atom
Fermi-level density of states = 9.03 states/eV/cell
relative energy among the computed polymorphs = 92 meV per atom
electronic total energy = -71.685 eV for the cell shown

***

Here is a geometry-optimized LaZr2As structure from the Alexandria database. Energies are from PBE.

Geometry as POSCAR:
```
LaZr2As
1.0
3.3519 0.0139 0.0000
-0.9479 3.2151 0.0000
0.0000 0.0000 9.0953
As Zr La
1 2 1
Cartesian
1.2020 1.6145 2.2738
0.0000 0.0000 0.5031
0.0000 0.0000 4.0446
1.2020 1.6145 6.8214
```

## Properties
energy of formation from the pure elements = -0.280 eV per atom
Fermi-level density of states = 5.29 states/eV/cell
electronic total energy = -27.792 eV for the cell shown

***

Here is a geometry-optimized LaZr2As structure from the Alexandria database. Energies are from PBE.

Geometry as POSCAR:
```
LaZr2As
1.0
-4.8624 -5.7897 3.7401
2.7335 -5.8215 -5.4580
1.1623 -6.4863 0.9823
As Zr La
2 4 2
Cartesian
-1.0644 -5.8056 -0.8589
1.4157 -9.0567 -2.6673
-2.0558 -5.5500 1.6310
1.0403 -6.4016 -2.4282
0.2707 -9.6391 -0.3014
-1.1883 -14.6044 -0.3725
0.0000 0.0000 0.0000
-2.3822 -9.0408 1.9317
```

## Properties
energy of formation from the pure elements = -0.225 eV per atom
Fermi-level density of states = 14.41 states/eV/cell
electronic total energy = -55.150 eV for the cell shown

***

Copy entry 2 word for word.
Here is a geometry-optimized LaZr2As structure from the Alexandria database. Energies are from PBE.

Geometry as POSCAR:
```
LaZr2As
1.0
5.1081 0.0000 0.0000
2.5541 4.4238 0.0000
2.5541 1.4746 4.1708
As Zr La
1 2 1
Cartesian
5.1081 2.9492 2.0854
0.0000 0.0000 0.0000
7.6622 4.4238 3.1281
2.5541 1.4746 1.0427
```

## Properties
energy of formation from the pure elements = -0.099 eV per atom
Fermi-level density of states = 6.86 states/eV/cell
electronic total energy = -27.069 eV for the cell shown

***

Please write out number 5 again, unchanged.
Here is a geometry-optimized LaZr2As structure from the Alexandria database. Energies are from PBE.

Geometry as POSCAR:
```
LaZr2As
1.0
3.3519 0.0139 0.0000
-0.9479 3.2151 0.0000
0.0000 0.0000 9.0953
As Zr La
1 2 1
Cartesian
1.2020 1.6145 2.2738
0.0000 0.0000 0.5031
0.0000 0.0000 4.0446
1.2020 1.6145 6.8214
```

## Properties
energy of formation from the pure elements = -0.280 eV per atom
Fermi-level density of states = 5.29 states/eV/cell
electronic total energy = -27.792 eV for the cell shown

***

- Which formula does entry 2 have?
  LaZr2As